[1]
A geometry-optimized PmHfIr4 structure. Source: Alexandria, functional GGA-PBE.

Summary:
As for the uncorrected energy: -54.0 eV for the cell shown.

Lattice parameters (Å, degrees): 5.3271 5.3271 5.3271 60.00 60.00 60.00
Closest atoms and distances in Å follow each position.
Fractional positions:
Pm 0.2500 0.2500 0.2500  12 Ir 3.12, 4 Hf 3.26
Ir 0.6252 0.1243 0.6252  6 Ir 2.66-2.67
Ir 0.1243 0.6252 0.6252  6 Ir 2.66-2.67
Ir 0.6252 0.6252 0.6252  6 Ir 2.66-2.67
Ir 0.6252 0.6252 0.1243  6 Ir 2.66-2.67
Hf 0.0000 0.0000 0.0000  12 Ir 3.12, 4 Pm 3.26



[2]
A geometry-optimized PmHf2Ir2 structure. Source: Alexandria, functional GGA-PBE.

Summary:
As for the uncorrected energy: -46.5 eV for the cell shown.

Lattice parameters (Å, degrees): 4.4818 4.4818 6.3688 110.60 110.60 90.00
Closest atoms and distances in Å follow each position.
Fractional positions:
Ir 0.3823 0.3823 0.7645  1 Ir 2.60, 4 Hf 2.68
Ir 0.6177 0.6177 0.2355  1 Ir 2.60, 4 Hf 2.68
Hf 0.2500 0.7500 0.5000  4 Ir 2.68
Hf 0.7500 0.2500 0.5000  4 Ir 2.68
Pm 0.0000 0.0000 0.0000  8 Ir 3.43, 8 Hf 3.56



[3]
A geometry-optimized PmHfScIr2 structure. Source: Alexandria, functional GGA-PBE.

Summary:
As for the uncorrected energy: -42.8 eV for the cell shown.

Lattice parameters (Å, degrees): 4.3634 4.3634 6.5428 109.48 109.48 90.00
Closest atoms and distances in Å follow each position.
Fractional positions:
Sc 0.2500 0.7500 0.5000  4 Ir 2.69
Hf 0.7500 0.2500 0.5000  4 Ir 2.69
Ir 0.6140 0.6140 0.2281  1 Ir 2.63, 2 Sc 2.69, 2 Hf 2.69
Ir 0.3860 0.3860 0.7719  1 Ir 2.63, 2 Hf 2.69, 2 Sc 2.69
Pm 0.0000 0.0000 0.0000  8 Ir 3.35, 4 Hf 3.62, 4 Sc 3.62



[4]
A geometry-optimized Pm2HfSi4Ir3 structure. Source: Alexandria, functional GGA-PBE.

Summary:
As for the formation energy without anion corrections: -0.929 eV/atom.

Lattice parameters (Å, degrees): 4.1550 4.1550 10.6186 90.00 90.00 90.00
Closest atoms and distances in Å follow each position.
Fractional positions:
Si 0.5000 0.5000 0.0000  4 Ir 2.42
Si 0.0000 0.5000 0.3445  3 Ir 2.41-2.65, 2 Hf 2.65
Si 0.0000 0.0000 0.0000  4 Ir 2.42
Si 0.5000 0.0000 0.6555  3 Ir 2.41-2.65, 2 Hf 2.65
Ir 0.0000 0.0000 0.5000  4 Si 2.65, 4 Hf 2.94
Ir 0.0000 0.5000 0.1175  5 Si 2.41-2.42
Ir 0.5000 0.0000 0.8825  5 Si 2.41-2.42
Hf 0.5000 0.5000 0.5000  4 Si 2.65, 4 Ir 2.94
Pm 0.0000 0.5000 0.7631  8 Si 3.15-3.26, 6 Ir 3.20-3.48, 2 Hf 3.48
Pm 0.5000 0.0000 0.2369  8 Si 3.15-3.26, 6 Ir 3.20-3.48, 2 Hf 3.48



[5]
A geometry-optimized PrHf2Ir2 structure. Source: Alexandria, functional GGA-PBE.

Summary:
As for the uncorrected energy: -46.5 eV for the cell shown.

Lattice parameters (Å, degrees): 4.5001 4.5001 6.3838 110.64 110.64 90.00
Closest atoms and distances in Å follow each position.
Fractional positions:
Pr 0.0000 0.0000 0.0000  8 Ir 3.44, 8 Hf 3.57
Hf 0.2500 0.7500 0.5000  4 Ir 2.68
Hf 0.7500 0.2500 0.5000  4 Ir 2.68
Ir 0.6187 0.6187 0.2374  1 Ir 2.63, 4 Hf 2.68
Ir 0.3813 0.3813 0.7626  1 Ir 2.63, 4 Hf 2.68



[6]
A geometry-optimized PrHfIr4 structure. Source: Alexandria, functional GGA-PBE.

Summary:
As for the uncorrected energy: -53.7 eV for the cell shown.

Lattice parameters (Å, degrees): 5.3476 5.3476 5.3476 60.00 60.00 60.00
Closest atoms and distances in Å follow each position.
Fractional positions:
Hf 0.2500 0.2500 0.2500  12 Ir 3.13, 4 Pr 3.27
Pr 0.0000 0.0000 0.0000  12 Ir 3.14, 4 Hf 3.27
Ir 0.1260 0.6247 0.6247  6 Ir 2.67-2.68
Ir 0.6247 0.6247 0.1260  6 Ir 2.67-2.68
Ir 0.6247 0.6247 0.6247  6 Ir 2.67-2.68
Ir 0.6247 0.1260 0.6247  6 Ir 2.67-2.68



no.,total magnetic moment (Bohr magnetons per cell)
1,0.0
2,0.0
3,0.0
4,0.0
5,0.0
6,0.0